1.
Computed, not measured: SbO after structural relaxation at the PBE level of DFT.

Results
- density (kg/m³) = 6002
- energy relative to the elements, uncorrected (eV/atom) = -0.912
- N(E_F) (states/eV/cell) = 0.9
- uncorrected energy (eV per cell) = -21.8

a b c (Å): 4.2347 3.3088 5.6967
angles (deg): 72.74 90.00 90.00
Closest atoms and distances in Å follow each position.
Fractional positions:
Sb  0.2500  0.1250  0.7539  3 O 2.04-2.21
Sb  0.7500  0.8750  0.2461  3 O 2.04-2.21
O  0.2500  0.9338  0.1295  3 Sb 2.04-2.21
O  0.7500  0.0662  0.8705  3 Sb 2.04-2.21

2.
Computed, not measured: Li2GeAu after structural relaxation at the PBE level of DFT.

Results
- density (kg/m³) = 7241
- N(E_F) (states/eV/cell) = 2.7
- formation energy from the elements (eV per atom) = -0.285
- uncorrected energy (eV per cell) = -12.9

a b c (Å): 2.9443 2.9443 8.8247
angles (deg): 80.40 80.40 60.00
Closest atoms and distances in Å follow each position.
Fractional positions:
Li  0.0844  0.0844  0.7467  3 Ge 2.73, 3 Au 2.78, 6 Li 2.94
Li  0.2490  0.2490  0.2531  3 Ge 2.73, 3 Au 2.77, 6 Li 2.94
Ge  0.5002  0.5002  0.4994  6 Li 2.73, 6 Ge 2.94
Au  0.6664  0.6664  0.0008  6 Li 2.77-2.78, 6 Au 2.94

- N(E_F) of number 2 (Li2GeAu)?
  2.7 states/eV/cell

- What is the uncorrected energy in the first record?
  -21.8 eV per cell

- Among the records above, which one has the lowest density?
  SbO

- Which value of N(E_F) does entry 2 give?
  2.7 states/eV/cell